# NpCu2NiO6

An optimized crystal structure of NpCu2NiO6 (GGA+U, the Alexandria database).

Cell: 6.836 6.836 5.367 Å, 97.33 97.33 84.41°
Fractional positions:
Np: 0.238 0.762 0.750
Np: 0.762 0.238 0.250
Cu: 0.106 0.285 0.815
Cu: 0.285 0.106 0.315
Cu: 0.715 0.894 0.685
Cu: 0.894 0.715 0.185
Ni: 0.414 0.586 0.250
Ni: 0.586 0.414 0.750
O: 0.038 0.217 0.134
O: 0.142 0.647 0.399
O: 0.217 0.038 0.634
O: 0.307 0.479 0.883
O: 0.353 0.858 0.101
O: 0.479 0.307 0.383
O: 0.521 0.693 0.617
O: 0.647 0.142 0.899
O: 0.693 0.521 0.117
O: 0.783 0.962 0.366
O: 0.858 0.353 0.601
O: 0.962 0.783 0.866

- space group = C2/c, No. 15
- raw total energy (eV per formula unit) = -68.3